Tb2ThIr: relaxed, PBE.

- energy relative to the elements (eV/atom) = -0.067
- density (g/cm3) = 10.1
- total magnetization (μB/f.u.) = 0.00
- excess energy over the best structure of this formula in the dataset (eV per atom) = 0.482
- raw total energy (eV per atom) = -6.4520
- DOS at the Fermi energy (states/eV per cell) = 5.6

Structure (extended XYZ):
```
4
Lattice="-1.997 -2.742 1.354 0.914 -1.522 3.192 -6.499 5.562 6.601" Properties=species:S:1:pos:R:3 pbc="T T T"
Tb -3.128 -1.937 6.241
Tb -4.454 3.235 4.907
Ir -3.791 0.649 5.574
Th 0.000 0.000 0.000
```